--- P ---
A relaxed structure of NaPuW, computed with PBE.

Cell lengths 4.6562, 4.6562, 4.6562 Å; angles 60.00, 60.00, 60.00 degrees
Site moments in Bohr magnetons follow the coordinates.
Sites, in units of the cell vectors:
Na1 0.2500 0.2500 0.2500  0.04
W1 0.7500 0.7500 0.7500  -0.96
Pu1 0.0000 0.0000 0.0000  4.79

--- Q ---
A relaxed structure of NaPuW, computed with PBE.

Cell lengths 4.6447, 4.6447, 4.6447 Å; angles 60.00, 60.00, 60.00 degrees
Site moments in Bohr magnetons follow the coordinates.
Sites, in units of the cell vectors:
Na1 0.2500 0.2500 0.2500  0.00
W1 0.0000 0.0000 0.0000  -1.16
Pu1 0.7500 0.7500 0.7500  4.63

So which one is most stable? That would be Q, about 26.2 kJ/mol of atoms below the next structure.